This record from the Alexandria database describes an optimized crystal structure of Tm4GaSeS2. The functional is PBE.

The energy comes out at -5.619 eV per atom. The value obtained for the formation energy from raw total energies is -1.537 eV per atom.

It has space group P2/m (No. 10), with a = 6.907 Å, b = 3.875 Å, c = 6.958 Å, α = 90.00°, β = 108.75° and γ = 90.00°. The inequivalent atoms are Tm at (0.242, 0.000, 0.236), Tm at (0.244, 0.500, 0.751), Ga at (0.500, 0.000, 0.000), Se at (0.500, 0.500, 0.500), S at (0.000, 0.000, 0.500) and S at (0.000, 0.500, 0.000).